(1)
DFT (GGA-PBE) results for Rb3Ir2Cl9 after structural relaxation.

Summary:
The volume is 29.48 Å³/atom. As for the energy relative to the elements, uncorrected: -1.14 eV per atom. The space-group type is P6_3/mmc. Its crystal system is hexagonal.

Unit cell a=7.1525 b=7.1525 c=18.6306 alpha=90.00 beta=90.00 gamma=120.00
With the nearest neighbours (Å) after each atom.
Atoms (fractional coordinates):
Rb  0.0000  0.0000  0.2500  12 Cl 3.58-3.64
Rb  0.0000  0.0000  0.7500  12 Cl 3.58-3.64
Rb  0.3333  0.6667  0.0598  9 Cl 3.46-3.64
Rb  0.3333  0.6667  0.4402  9 Cl 3.46-3.64
Rb  0.6667  0.3333  0.5598  9 Cl 3.46-3.64
Rb  0.6667  0.3333  0.9402  9 Cl 3.46-3.64
Ir  0.3333  0.6667  0.6657  6 Cl 2.34-2.42
Ir  0.3333  0.6667  0.8343  6 Cl 2.34-2.42
Ir  0.6667  0.3333  0.1657  6 Cl 2.34-2.42
Ir  0.6667  0.3333  0.3343  6 Cl 2.34-2.42
Cl  0.0365  0.5182  0.7500  2 Ir 2.42
Cl  0.1780  0.3560  0.5943  1 Ir 2.34
Cl  0.1780  0.3560  0.9057  1 Ir 2.34
Cl  0.1780  0.8220  0.5943  1 Ir 2.34
Cl  0.1780  0.8220  0.9057  1 Ir 2.34
Cl  0.3560  0.1780  0.0943  1 Ir 2.34
Cl  0.3560  0.1780  0.4057  1 Ir 2.34
Cl  0.4818  0.5182  0.7500  2 Ir 2.42
Cl  0.4818  0.9635  0.7500  2 Ir 2.42
Cl  0.5182  0.0365  0.2500  2 Ir 2.42
Cl  0.5182  0.4818  0.2500  2 Ir 2.42
Cl  0.6440  0.8220  0.5943  1 Ir 2.34
Cl  0.6440  0.8220  0.9057  1 Ir 2.34
Cl  0.8220  0.1780  0.0943  1 Ir 2.34
Cl  0.8220  0.1780  0.4057  1 Ir 2.34
Cl  0.8220  0.6440  0.0943  1 Ir 2.34
Cl  0.8220  0.6440  0.4057  1 Ir 2.34
Cl  0.9635  0.4818  0.2500  2 Ir 2.42

---

(2)
DFT (GGA-PBE) results for BaTc2Ag after structural relaxation.

Summary:
The volume is 25.38 Å³/atom. The space-group type is R3m. Its crystal system is trigonal. The calculation puts the density of states at the Fermi level at 17.7 states/eV per cell. The calculation puts the formation energy at 0.4282 eV/atom.

Unit cell a=4.2798 b=4.2798 c=19.2006 alpha=90.00 beta=90.00 gamma=120.00
With the nearest neighbours (Å) after each atom.
Atoms (fractional coordinates):
Ba  0.0000  0.0000  0.0000  3 Ag 3.46, 7 Tc 3.56-3.83
Ba  0.3333  0.6667  0.6667  3 Ag 3.46, 7 Tc 3.56-3.83
Ba  0.6667  0.3333  0.3333  3 Ag 3.46, 7 Tc 3.56-3.83
Tc  0.0000  0.0000  0.4698  3 Tc 2.47
Tc  0.0000  0.0000  0.8003  3 Tc 2.47
Tc  0.3333  0.6667  0.1365  3 Tc 2.47
Tc  0.3333  0.6667  0.4670  3 Tc 2.47
Tc  0.6667  0.3333  0.1336  3 Tc 2.47
Tc  0.6667  0.3333  0.8031  3 Tc 2.47
Ag  0.0000  0.0000  0.2076  6 Tc 2.82-2.85
Ag  0.3333  0.6667  0.8742  6 Tc 2.82-2.85
Ag  0.6667  0.3333  0.5409  6 Tc 2.82-2.85

---

(3)
DFT (GGA-PBE) results for Cs4Ce3PrSe8 after structural relaxation.

Summary:
The volume is 35.77 Å³/atom. As for the energy relative to the elements, uncorrected: -1.68 eV per atom. The space-group type is R-3m. Its crystal system is trigonal. The calculation puts the density of states at the Fermi level at 18.2 states/eV per cell.

Unit cell a=9.8218 b=9.8218 c=9.8218 alpha=53.76 beta=53.76 gamma=53.76
With the nearest neighbours (Å) after each atom.
Atoms (fractional coordinates):
Cs  0.0000  0.0000  0.0000  6 Se 3.64
Cs  0.0000  0.5000  0.5000  6 Se 3.65-3.66
Cs  0.5000  0.0000  0.5000  6 Se 3.65-3.66
Cs  0.5000  0.5000  0.0000  6 Se 3.65-3.66
Ce  0.0000  0.0000  0.5000  6 Se 3.01
Ce  0.0000  0.5000  0.0000  6 Se 3.01
Ce  0.5000  0.0000  0.0000  6 Se 3.01
Pr  0.5000  0.5000  0.5000  6 Se 3.03
Se  0.2287  0.7306  0.7306  2 Ce 3.01, 1 Pr 3.03
Se  0.2295  0.2295  0.2295  3 Ce 3.01
Se  0.2694  0.2694  0.7713  2 Ce 3.01, 1 Pr 3.03
Se  0.2694  0.7713  0.2694  2 Ce 3.01, 1 Pr 3.03
Se  0.7306  0.2287  0.7306  2 Ce 3.01, 1 Pr 3.03
Se  0.7306  0.7306  0.2287  2 Ce 3.01, 1 Pr 3.03
Se  0.7705  0.7705  0.7705  3 Ce 3.01
Se  0.7713  0.2694  0.2694  2 Ce 3.01, 1 Pr 3.03

---

(4)
DFT (GGA-PBE) results for InC5 after structural relaxation.

Summary:
The volume is 13.60 Å³/atom. The space-group type is P6/mmm. Its crystal system is hexagonal. The calculation puts the density of states at the Fermi level at 4.2 states/eV per cell. The calculation puts the formation energy at 3.4142 eV/atom.

Unit cell a=3.6202 b=3.6202 c=7.1885 alpha=90.00 beta=90.00 gamma=120.00
With the nearest neighbours (Å) after each atom.
Atoms (fractional coordinates):
In  0.0000  0.0000  0.0000  6 C 2.09
C  0.0000  0.5000  0.5000  4 C 1.81
C  0.3333  0.6667  0.0000  3 In 2.09, 3 C 2.09
C  0.5000  0.0000  0.5000  4 C 1.81
C  0.5000  0.5000  0.5000  4 C 1.81
C  0.6667  0.3333  0.0000  3 In 2.09, 3 C 2.09

---

- Among the records above, which one has the highest volume?
  Cs4Ce3PrSe8

---

Please write out number 2 again, unchanged.
DFT (GGA-PBE) results for BaTc2Ag after structural relaxation.

Summary:
The volume is 25.38 Å³/atom. The space-group type is R3m. Its crystal system is trigonal. The calculation puts the density of states at the Fermi level at 17.7 states/eV per cell. The calculation puts the formation energy at 0.4282 eV/atom.

Unit cell a=4.2798 b=4.2798 c=19.2006 alpha=90.00 beta=90.00 gamma=120.00
With the nearest neighbours (Å) after each atom.
Atoms (fractional coordinates):
Ba  0.0000  0.0000  0.0000  3 Ag 3.46, 7 Tc 3.56-3.83
Ba  0.3333  0.6667  0.6667  3 Ag 3.46, 7 Tc 3.56-3.83
Ba  0.6667  0.3333  0.3333  3 Ag 3.46, 7 Tc 3.56-3.83
Tc  0.0000  0.0000  0.4698  3 Tc 2.47
Tc  0.0000  0.0000  0.8003  3 Tc 2.47
Tc  0.3333  0.6667  0.1365  3 Tc 2.47
Tc  0.3333  0.6667  0.4670  3 Tc 2.47
Tc  0.6667  0.3333  0.1336  3 Tc 2.47
Tc  0.6667  0.3333  0.8031  3 Tc 2.47
Ag  0.0000  0.0000  0.2076  6 Tc 2.82-2.85
Ag  0.3333  0.6667  0.8742  6 Tc 2.82-2.85
Ag  0.6667  0.3333  0.5409  6 Tc 2.82-2.85